[1]
Compound: DyTi12Sb6
Source: Alexandria via LeMat-Bulk
Functional: GGA-PBE
Structure: optimized geometry

Unit cell a=7.7171 b=7.7171 c=7.7171 alpha=105.02 beta=105.02 gamma=105.02
Sites, in units of the cell vectors:
Dy1 0.0000 0.0000 0.0000
Ti1 0.1090 0.5000 0.8910
Ti2 0.1090 0.8910 0.5000
Ti3 0.1706 0.4109 0.4109
Ti4 0.4109 0.1706 0.4109
Ti5 0.4109 0.4109 0.1706
Ti6 0.5000 0.1090 0.8910
Ti7 0.5000 0.8910 0.1090
Ti8 0.5891 0.5891 0.8294
Ti9 0.5891 0.8294 0.5891
Ti10 0.8294 0.5891 0.5891
Ti11 0.8910 0.1090 0.5000
Ti12 0.8910 0.5000 0.1090
Sb1 0.2636 0.2636 0.7350
Sb2 0.2636 0.7350 0.2636
Sb3 0.2650 0.7364 0.7364
Sb4 0.7350 0.2636 0.2636
Sb5 0.7364 0.2650 0.7364
Sb6 0.7364 0.7364 0.2650

Results
D(E_F): 20.66 states/eV/f.u.
VASP energy: -6.719 eV per atom
formation energy from raw total energies: -0.188 eV/atom

=====

[2]
Compound: BaNdIn2Sn2
Source: Alexandria via LeMat-Bulk
Functional: GGA-PBE
Structure: optimized geometry

Unit cell a=4.7619 b=4.7619 c=9.9853 alpha=90.00 beta=90.00 gamma=120.00
Sites, in units of the cell vectors:
Ba1 0.0000 0.0000 0.0000
Nd1 0.0000 0.0000 0.5000
In1 0.3333 0.6667 0.7795
In2 0.6667 0.3333 0.2205
Sn1 0.3333 0.6667 0.3249
Sn2 0.6667 0.3333 0.6751

Results
D(E_F): 3.51 states/eV/f.u.
VASP energy: -3.870 eV per atom
formation energy: -0.508 eV per atom

=====

[3]
Compound: K4HgAu4
Source: Alexandria via LeMat-Bulk
Functional: GGA-PBE
Structure: optimized geometry

Unit cell a=9.6620 b=9.6620 c=6.6708 alpha=90.00 beta=90.00 gamma=90.00
Sites, in units of the cell vectors:
K1 0.0387 0.6777 0.0906
K2 0.1777 0.9613 0.5906
K3 0.3223 0.5387 0.5906
K4 0.4613 0.8223 0.0906
K5 0.5387 0.1777 0.9094
K6 0.6777 0.4613 0.4094
K7 0.8223 0.0387 0.4094
K8 0.9613 0.3223 0.9094
Hg1 0.2500 0.2500 0.2500
Hg2 0.7500 0.7500 0.7500
Au1 0.0076 0.3669 0.4176
Au2 0.1331 0.0076 0.0824
Au3 0.3669 0.4924 0.0824
Au4 0.4924 0.1331 0.4176
Au5 0.5076 0.8669 0.5824
Au6 0.6331 0.5076 0.9176
Au7 0.8669 0.9924 0.9176
Au8 0.9924 0.6331 0.5824

Results
D(E_F): 3.13 states/eV/f.u.
VASP energy: -2.220 eV per atom
formation energy: -0.242 eV per atom

=====

[4]
Compound: RbNa4Hg
Source: Alexandria via LeMat-Bulk
Functional: GGA-PBE
Structure: optimized geometry

Unit cell a=10.4092 b=4.9823 c=9.4167 alpha=90.00 beta=90.00 gamma=90.00
Sites, in units of the cell vectors:
Rb1 0.2500 0.0000 0.0948
Rb2 0.7500 0.0000 0.9052
Na1 0.0000 0.0000 0.5000
Na2 0.0694 0.5000 0.7866
Na3 0.2500 0.5000 0.4655
Na4 0.4306 0.5000 0.7866
Na5 0.5000 0.0000 0.5000
Na6 0.5694 0.5000 0.2134
Na7 0.7500 0.5000 0.5345
Na8 0.9306 0.5000 0.2134
Hg1 0.2500 0.0000 0.6961
Hg2 0.7500 0.0000 0.3039

Results
offset from the most stable computed form: 0.000 eV per formula unit
D(E_F): 2.64 states/eV/f.u.
VASP energy: -1.178 eV per atom
formation energy: -0.087 eV per atom

=====

[5]
Compound: Ca2BeTe2
Source: Alexandria via LeMat-Bulk
Functional: GGA-PBE
Structure: optimized geometry

Unit cell a=8.6802 b=8.6802 c=8.6802 alpha=150.08 beta=150.08 gamma=42.83
Sites, in units of the cell vectors:
Ca1 0.1059 0.1059 0.0000
Ca2 0.8941 0.8941 0.0000
Be1 0.5000 0.5000 0.0000
Te1 0.2500 0.7500 0.5000
Te2 0.7500 0.2500 0.5000

Results
offset from the most stable computed form: 2.590 eV per formula unit
D(E_F): 3.65 states/eV/f.u.
VASP energy: -2.857 eV per atom
formation energy from raw total energies: -0.054 eV/atom

=====

[6]
Compound: Nd2YGa
Source: Alexandria via LeMat-Bulk
Functional: GGA-PBE
Structure: optimized geometry

Unit cell a=3.7382 b=10.0158 c=6.6690 alpha=90.00 beta=106.26 gamma=90.00
Sites, in units of the cell vectors:
Nd1 0.1362 0.0494 0.2726
Nd2 0.1362 0.4506 0.2726
Nd3 0.8638 0.5494 0.7274
Nd4 0.8638 0.9506 0.7274
Y1 0.4418 0.2500 0.8860
Y2 0.5582 0.7500 0.1140
Ga1 0.2439 0.7500 0.4845
Ga2 0.7561 0.2500 0.5155

Results
offset from the most stable computed form: 0.000 eV per formula unit
D(E_F): 5.22 states/eV/f.u.
VASP energy: -5.022 eV per atom
formation energy: -0.265 eV per atom

=====

[7]
Compound: MnCrCo3
Source: Alexandria via LeMat-Bulk
Functional: GGA-PBE
Structure: optimized geometry

Unit cell a=4.1092 b=4.1092 c=4.1092 alpha=90.00 beta=90.00 gamma=90.00
Sites, in units of the cell vectors:
Mn1 0.0000 0.0000 0.0000
Cr1 0.5000 0.5000 0.5000
Co1 0.0000 0.0000 0.5000
Co2 0.0000 0.5000 0.0000
Co3 0.5000 0.0000 0.0000

Results
offset from the most stable computed form: 5.855 eV per formula unit
D(E_F): 12.51 states/eV/f.u.
VASP energy: -6.552 eV per atom
formation energy: 1.470 eV per atom

=====

[8]
Compound: Sc2CrBPb
Source: Alexandria via LeMat-Bulk
Functional: GGA-PBE
Structure: optimized geometry

Unit cell a=4.6663 b=4.6663 c=4.0811 alpha=90.00 beta=90.00 gamma=90.00
Sites, in units of the cell vectors:
Sc1 0.0000 0.5000 0.0000
Sc2 0.5000 0.0000 0.0000
Cr1 0.0000 0.0000 0.5000
B1 0.0000 0.0000 0.0000
Pb1 0.5000 0.5000 0.5000

Results
D(E_F): 6.36 states/eV/f.u.
VASP energy: -6.722 eV per atom
formation energy: -0.188 eV per atom

=====

[9]
Compound: ZnTc4Pt
Source: Alexandria via LeMat-Bulk
Functional: GGA-PBE
Structure: optimized geometry

Unit cell a=5.1065 b=5.1065 c=5.1065 alpha=60.00 beta=60.00 gamma=60.00
Sites, in units of the cell vectors:
Zn1 0.0000 0.0000 0.0000
Tc1 0.3753 0.3753 0.3753
Tc2 0.3753 0.3753 0.8742
Tc3 0.3753 0.8742 0.3753
Tc4 0.8742 0.3753 0.3753
Pt1 0.7500 0.7500 0.7500

Results
D(E_F): 7.80 states/eV/f.u.
VASP energy: -7.746 eV per atom
formation energy: 0.384 eV per atom

=====

[10]
Compound: KHI3
Source: Alexandria via LeMat-Bulk
Functional: GGA-PBE
Structure: optimized geometry

Unit cell a=6.8109 b=6.8109 c=6.8109 alpha=90.00 beta=90.00 gamma=90.00
Sites, in units of the cell vectors:
K1 0.0000 0.0000 0.0000
H1 0.5000 0.5000 0.5000
I1 0.0000 0.0000 0.5000
I2 0.0000 0.5000 0.0000
I3 0.5000 0.0000 0.0000

Results
offset from the most stable computed form: 4.338 eV per formula unit
D(E_F): 14.36 states/eV/f.u.
VASP energy: -1.516 eV per atom

=====

[11]
Compound: FeHgS2N
Source: Alexandria via LeMat-Bulk
Functional: GGA-PBE
Structure: optimized geometry

Unit cell a=4.7977 b=4.7977 c=3.4361 alpha=90.00 beta=90.00 gamma=90.00
Sites, in units of the cell vectors:
Fe1 0.0000 0.0000 0.0000
Hg1 0.5000 0.5000 0.5000
S1 0.0000 0.5000 0.0000
S2 0.5000 0.0000 0.0000
N1 0.0000 0.0000 0.5000

Results
offset from the most stable computed form: 0.000 eV per formula unit
D(E_F): 4.31 states/eV/f.u.
VASP energy: -4.645 eV per atom
formation energy from raw total energies: 0.424 eV/atom

=====

[12]
Compound: Ce3Ge2Pd5
Source: Alexandria via LeMat-Bulk
Functional: GGA-PBE
Structure: optimized geometry

Unit cell a=8.9705 b=8.9705 c=8.9705 alpha=99.76 beta=92.36 gamma=142.13
Sites, in units of the cell vectors:
Ce1 0.1999 0.6123 0.8122
Ce2 0.2500 0.2500 0.0000
Ce3 0.3001 0.1123 0.4123
Ce4 0.6999 0.8877 0.5877
Ce5 0.7500 0.7500 0.0000
Ce6 0.8001 0.3877 0.1878
Ge1 0.1628 0.8689 0.0318
Ge2 0.3372 0.3689 0.7061
Ge3 0.6628 0.6311 0.2939
Ge4 0.8372 0.1311 0.9682
Pd1 0.1428 0.3583 0.5011
Pd2 0.2500 0.0176 0.7676
Pd3 0.2500 0.4824 0.2324
Pd4 0.2500 0.7500 0.5000
Pd5 0.3572 0.8583 0.2155
Pd6 0.6428 0.1417 0.7845
Pd7 0.7500 0.2500 0.5000
Pd8 0.7500 0.5176 0.7676
Pd9 0.7500 0.9824 0.2324
Pd10 0.8572 0.6417 0.4989

Results
D(E_F): 14.70 states/eV/f.u.
VASP energy: -5.891 eV per atom
formation energy: -0.591 eV per atom

=====

[13]
Compound: CaAc2Pb
Source: Alexandria via LeMat-Bulk
Functional: GGA-PBE
Structure: optimized geometry

Unit cell a=6.8749 b=6.8749 c=6.7455 alpha=90.00 beta=90.00 gamma=75.37
Sites, in units of the cell vectors:
Ca1 0.1764 0.8236 0.7500
Ca2 0.8236 0.1764 0.2500
Ac1 0.0181 0.3585 0.7500
Ac2 0.3585 0.0181 0.2500
Ac3 0.6415 0.9819 0.7500
Ac4 0.9819 0.6415 0.2500
Pb1 0.5000 0.5000 0.0000
Pb2 0.5000 0.5000 0.5000

Results
offset from the most stable computed form: 0.334 eV per formula unit
D(E_F): 4.57 states/eV/f.u.
VASP energy: -3.655 eV per atom
formation energy: -0.173 eV per atom

=====

[14]
Compound: Ca5W
Source: Alexandria via LeMat-Bulk
Functional: GGA-PBE
Structure: optimized geometry

Unit cell a=7.4583 b=7.4583 c=8.4434 alpha=108.23 beta=108.23 gamma=26.96
Sites, in units of the cell vectors:
Ca1 0.0000 0.0000 0.0000
Ca2 0.0195 0.0195 0.6179
Ca3 0.2736 0.2736 0.7460
Ca4 0.3340 0.3340 0.1943
Ca5 0.6581 0.6581 0.3309
W1 0.6640 0.6640 0.9481

Results
offset from the most stable computed form: 0.000 eV per formula unit
D(E_F): 4.97 states/eV/f.u.
VASP energy: -3.289 eV per atom
formation energy: 0.538 eV per atom

=====

[15]
Compound: Mg2H4Ir
Source: Alexandria via LeMat-Bulk
Functional: GGA-PBE
Structure: optimized geometry

Unit cell a=5.0680 b=5.0680 c=3.7308 alpha=111.54 beta=111.54 gamma=86.15
Sites, in units of the cell vectors:
Mg1 0.2100 0.7900 0.0000
Mg2 0.7900 0.2100 0.0000
H1 0.2527 0.2527 0.2506
H2 0.4144 0.9296 0.6699
H3 0.4797 0.4797 0.9767
H4 0.9296 0.4144 0.6699
Ir1 0.2103 0.2103 0.7088

Results
offset from the most stable computed form: 0.763 eV per formula unit
D(E_F): 0.44 states/eV/f.u.
VASP energy: -3.909 eV per atom

=====

[16]
Compound: Ac4ZnAg
Source: Alexandria via LeMat-Bulk
Functional: GGA-PBE
Structure: optimized geometry

Unit cell a=3.9527 b=3.9527 c=13.6666 alpha=90.00 beta=90.00 gamma=90.00
Sites, in units of the cell vectors:
Ac1 0.0000 0.0000 0.1393
Ac2 0.0000 0.0000 0.8607
Ac3 0.5000 0.5000 0.3560
Ac4 0.5000 0.5000 0.6440
Zn1 0.5000 0.5000 0.0000
Ag1 0.0000 0.0000 0.5000

Results
offset from the most stable computed form: 0.000 eV per formula unit
D(E_F): 7.59 states/eV/f.u.
VASP energy: -3.578 eV per atom
formation energy: -0.152 eV per atom

=====

[17]
Compound: LiOsS2
Source: Alexandria via LeMat-Bulk
Functional: GGA-PBE
Structure: optimized geometry

Unit cell a=4.2348 b=4.2348 c=4.2348 alpha=60.00 beta=60.00 gamma=60.00
Sites, in units of the cell vectors:
Li1 0.0000 0.0000 0.0000
Os1 0.5000 0.5000 0.5000
S1 0.2500 0.2500 0.2500
S2 0.7500 0.7500 0.7500

Results
D(E_F): 5.13 states/eV/f.u.
VASP energy: -5.446 eV per atom
formation energy from raw total energies: -0.097 eV/atom

=====

[18]
Compound: SiRuRh2I
Source: Alexandria via LeMat-Bulk
Functional: GGA-PBE
Structure: optimized geometry

Unit cell a=4.7257 b=4.7257 c=5.1516 alpha=90.00 beta=90.00 gamma=90.00
Sites, in units of the cell vectors:
Si1 0.0000 0.0000 0.0000
Ru1 0.5000 0.5000 0.5000
Rh1 0.0000 0.5000 0.5000
Rh2 0.5000 0.0000 0.5000
I1 0.5000 0.5000 0.0000

Results
D(E_F): 4.47 states/eV/f.u.
VASP energy: -4.824 eV per atom
formation energy from raw total energies: 1.366 eV/atom

=====

[19]
Compound: CeSc2Pa
Source: Alexandria via LeMat-Bulk
Functional: GGA-PBE
Structure: optimized geometry

Unit cell a=11.0896 b=11.0896 c=11.0896 alpha=16.93 beta=16.93 gamma=16.93
Sites, in units of the cell vectors:
Ce1 0.0000 0.0000 0.0000
Sc1 0.5788 0.5788 0.5788
Sc2 0.7533 0.7533 0.7533
Pa1 0.1659 0.1659 0.1659

Results
offset from the most stable computed form: 0.020 eV per formula unit
D(E_F): 9.25 states/eV/f.u.
VASP energy: -6.944 eV per atom
formation energy: 0.080 eV per atom

=====

[20]
Compound: Ca2MnCo2
Source: Alexandria via LeMat-Bulk
Functional: GGA-PBE
Structure: optimized geometry

Unit cell a=6.0915 b=6.0915 c=4.6899 alpha=90.00 beta=90.00 gamma=90.00
Sites, in units of the cell vectors:
Ca1 0.1834 0.3166 0.0000
Ca2 0.3166 0.8166 0.0000
Ca3 0.6834 0.1834 0.0000
Ca4 0.8166 0.6834 0.0000
Mn1 0.0000 0.0000 0.5000
Mn2 0.5000 0.5000 0.5000
Co1 0.1315 0.6315 0.5000
Co2 0.3685 0.1315 0.5000
Co3 0.6315 0.8685 0.5000
Co4 0.8685 0.3685 0.5000

Results
D(E_F): 6.41 states/eV/f.u.
VASP energy: -5.065 eV per atom
formation energy: 0.412 eV per atom

=====

[21]
Compound: Os2RhAu
Source: Alexandria via LeMat-Bulk
Functional: GGA-PBE
Structure: optimized geometry

Unit cell a=5.7394 b=5.7394 c=5.7394 alpha=101.84 beta=101.84 gamma=126.13
Sites, in units of the cell vectors:
Os1 0.0833 0.1250 0.4583
Os2 0.3750 0.9167 0.0417
Os3 0.6667 0.6250 0.5417
Os4 0.8750 0.3333 0.9583
Rh1 0.0000 0.0000 0.0000
Rh2 0.7500 0.2500 0.5000
Au1 0.2500 0.7500 0.5000
Au2 0.5000 0.5000 0.0000

Results
offset from the most stable computed form: 3.470 eV per formula unit
D(E_F): 5.17 states/eV/f.u.
VASP energy: -7.189 eV per atom
formation energy: 1.083 eV per atom

=====

[22]
Compound: Li2In
Source: Alexandria via LeMat-Bulk
Functional: GGA-PBE
Structure: optimized geometry

Unit cell a=5.6985 b=5.6985 c=7.2688 alpha=104.85 beta=104.85 gamma=31.62
Sites, in units of the cell vectors:
Li1 0.0299 0.0299 0.3178
Li2 0.3588 0.3588 0.9698
Li3 0.6412 0.6412 0.0302
Li4 0.9701 0.9701 0.6822
In1 0.3032 0.3032 0.3416
In2 0.6968 0.6968 0.6584

Results
D(E_F): 1.28 states/eV/f.u.
VASP energy: -2.393 eV per atom
formation energy: -0.204 eV per atom

=====

[23]
Compound: Er2AlCuS5
Source: Alexandria via LeMat-Bulk
Functional: GGA-PBE
Structure: optimized geometry

Unit cell a=9.0814 b=9.0814 c=10.6457 alpha=90.00 beta=90.00 gamma=156.22
Sites, in units of the cell vectors:
Er1 0.1031 0.8969 0.5000
Er2 0.1119 0.8881 0.1199
Er3 0.8881 0.1119 0.6199
Er4 0.8969 0.1031 0.0000
Al1 0.4079 0.5921 0.2952
Al2 0.5921 0.4079 0.7952
Cu1 0.2535 0.7465 0.9409
Cu2 0.7465 0.2535 0.4409
S1 0.0380 0.9620 0.8814
S2 0.3178 0.6822 0.1429
S3 0.3183 0.6817 0.4660
S4 0.3572 0.6428 0.8147
S5 0.4941 0.5059 0.1163
S6 0.5059 0.4941 0.6163
S7 0.6428 0.3572 0.3147
S8 0.6822 0.3178 0.6429
S9 0.6817 0.3183 0.9660
S10 0.9620 0.0380 0.3814

Results
VASP energy: -5.624 eV per atom
formation energy from raw total energies: -1.446 eV/atom